# Y2BeAlBO7, optimized geometry, DFT PBE
data_Y2BeAlBO7
_cell_length_a 7.3753
_cell_length_b 4.7504
_cell_length_c 7.3912
_cell_angle_alpha 89.96
_cell_angle_beta 90.00
_cell_angle_gamma 90.00
_symmetry_space_group_name_H-M 'P 1'
_symmetry_Int_Tables_number 1
loop_
_symmetry_equiv_pos_as_xyz
'x,y,z'
loop_
_atom_site_label
_atom_site_fract_x
_atom_site_fract_y
_atom_site_fract_z
O1 0.6422 0.7626 0.8958
O2 0.4195 0.2156 0.4206
O3 0.9195 0.7844 0.5794
O4 0.5774 0.2140 0.0625
O5 0.3600 0.7182 0.6138
O6 0.8175 0.2076 0.8415
O7 0.1741 0.2173 0.6817
O8 0.6741 0.7827 0.3183
O9 0.0774 0.7860 0.9375
O10 0.8600 0.2818 0.3862
O11 0.3175 0.7924 0.1585
O12 0.0130 0.8188 0.2495
O13 0.1422 0.2374 0.1042
O14 0.5130 0.1812 0.7505
Be1 0.3652 0.0524 0.6136
Be2 0.8652 0.9476 0.3864
Al1 0.4974 0.0016 0.2441
Al2 0.9974 0.9984 0.7559
B1 0.6371 0.0678 0.8856
B2 0.1371 0.9322 0.1144
Y1 0.1615 0.4864 0.4237
Y2 0.6615 0.5136 0.5763
Y3 0.8352 0.4991 0.0956
Y4 0.3352 0.5009 0.9044
# Calculated volume: 10.790 A^3/atom
# Uncorrected formation energy: -72.445 kcal/mol of atoms
# Electronic total energy: -8.290 eV/atom
# Space-group type: P2_1